VASP calculation (PBE) on an optimized crystal structure of HgBiPb.

Summary:
**Magnetic moment**: 0.00 Bohr magnetons per cell
**ρ**: 10.66 g/cm3
**Calculated volume**: 192 Å³/cell
**Distance to the lowest polymorph of the same formula**: 0.0390 eV per atom

Cell lengths 10.2295, 10.2295, 10.2295 Å; angles 160.40, 147.61, 38.15 degrees
Element x y z (fractional)
Hg: 0.2473 0.0000 0.2473
Hg: 0.7527 0.0000 0.7527
Bi: 0.3578 0.3578 0.0000
Bi: 0.6422 0.6422 0.0000
Pb: 0.1910 0.1910 0.0000
Pb: 0.8090 0.8090 0.0000